[1]
First-principles (PBE) data for DyTc2GeC after structural relaxation, as listed in the Alexandria database.

Cell: 3.914 5.846 7.478 Å, 90.00 90.00 109.56°
Fractional positions:
Dy (0.458, 0.916, 0.750)
Dy (0.542, 0.084, 0.250)
Tc (0.170, 0.339, 0.942)
Tc (0.830, 0.661, 0.058)
Tc (0.170, 0.339, 0.558)
Tc (0.830, 0.661, 0.442)
Ge (0.735, 0.469, 0.750)
Ge (0.265, 0.531, 0.250)
C (0.000, 0.000, 0.000)
C (0.000, 0.000, 0.500)

Summary:
SG: Cmcm

***

[2]
First-principles (PBE) data for Dy2Ti2Ge2C after structural relaxation, as listed in the Alexandria database.

Cell: 4.171 4.171 8.106 Å, 104.91 104.91 90.00°
Fractional positions:
Dy (0.166, 0.166, 0.332)
Dy (0.834, 0.834, 0.668)
Ti (0.000, 0.500, 0.000)
Ti (0.500, 0.000, 0.000)
Ge (0.373, 0.373, 0.746)
Ge (0.627, 0.627, 0.254)
C (0.000, 0.000, 0.000)

Summary:
SG: I4/mmm

***

[3]
First-principles (PBE) data for Dy6HC2I3 after structural relaxation, as listed in the Alexandria database.

Cell: 6.549 6.549 7.733 Å, 98.25 98.25 119.88°
Fractional positions:
Dy (0.943, 0.594, 0.828)
Dy (0.707, 0.707, 0.174)
Dy (0.057, 0.406, 0.172)
Dy (0.594, 0.943, 0.828)
Dy (0.293, 0.293, 0.826)
Dy (0.406, 0.057, 0.172)
H (0.000, 0.000, 0.000)
C (0.334, 0.666, 0.000)
C (0.666, 0.334, 0.000)
I (0.167, 0.833, 0.500)
I (0.833, 0.167, 0.500)
I (0.500, 0.500, 0.500)

Summary:
SG: C2/m

***

[4]
First-principles (PBE) data for DyHCN2 after structural relaxation, as listed in the Alexandria database.

Cell: 3.486 5.049 7.189 Å, 90.00 90.00 110.19°
Fractional positions:
Dy (0.768, 0.536, 0.250)
Dy (0.232, 0.464, 0.750)
H (0.866, 0.733, 0.750)
H (0.134, 0.267, 0.250)
C (0.500, 0.000, 0.500)
C (0.500, 0.000, 0.000)
N (0.375, 0.750, 0.046)
N (0.625, 0.250, 0.546)
N (0.375, 0.750, 0.454)
N (0.625, 0.250, 0.954)

Summary:
SG: Cmcm

***

[5]
First-principles (PBE) data for Dy4HC2N after structural relaxation, as listed in the Alexandria database.

Cell: 3.562 6.207 6.112 Å, 109.35 90.00 90.00°
Fractional positions:
Dy (0.500, 0.240, 0.256)
Dy (0.500, 0.760, 0.744)
Dy (0.000, 0.231, 0.733)
Dy (0.000, 0.769, 0.267)
H (0.500, 0.500, 0.000)
C (0.500, 0.000, 0.500)
C (0.000, 0.500, 0.500)
N (0.000, 0.000, 0.000)

Summary:
SG: P2/m

***

[6]
First-principles (PBE) data for Dy6H3C2O after structural relaxation, as listed in the Alexandria database.

Cell: 6.135 6.135 6.055 Å, 99.64 99.64 120.14°
Fractional positions:
Dy (0.923, 0.589, 0.767)
Dy (0.744, 0.744, 0.232)
Dy (0.077, 0.411, 0.233)
Dy (0.589, 0.923, 0.767)
Dy (0.256, 0.256, 0.768)
Dy (0.411, 0.077, 0.233)
H (0.175, 0.825, 0.500)
H (0.825, 0.175, 0.500)
H (0.500, 0.500, 0.500)
C (0.334, 0.666, 0.000)
C (0.666, 0.334, 0.000)
O (0.000, 0.000, 0.000)

Summary:
SG: C2/m

***

[7]
First-principles (PBE) data for Dy4PHC2 after structural relaxation, as listed in the Alexandria database.

Cell: 3.728 6.329 12.534 Å, 90.00 90.00 107.13°
Fractional positions:
Dy (0.266, 0.531, 0.110)
Dy (0.734, 0.469, 0.610)
Dy (0.734, 0.469, 0.890)
Dy (0.266, 0.531, 0.390)
Dy (0.000, 0.000, 0.500)
Dy (0.000, 0.000, 0.000)
Dy (0.439, 0.879, 0.750)
Dy (0.561, 0.121, 0.250)
P (0.114, 0.228, 0.750)
P (0.886, 0.772, 0.250)
H (0.847, 0.693, 0.750)
H (0.153, 0.307, 0.250)
C (0.366, 0.732, 0.560)
C (0.634, 0.268, 0.060)
C (0.634, 0.268, 0.440)
C (0.366, 0.732, 0.940)

Summary:
SG: Cmcm

***

[8]
First-principles (PBE) data for Dy3HCS after structural relaxation, as listed in the Alexandria database.

Cell: 3.647 7.693 7.920 Å, 102.55 90.00 90.00°
Fractional positions:
Dy (0.750, 0.876, 0.140)
Dy (0.250, 0.124, 0.860)
Dy (0.250, 0.769, 0.475)
Dy (0.750, 0.231, 0.525)
Dy (0.750, 0.444, 0.162)
Dy (0.250, 0.556, 0.838)
H (0.250, 0.077, 0.576)
H (0.750, 0.923, 0.424)
C (0.250, 0.668, 0.161)
C (0.750, 0.332, 0.839)
S (0.250, 0.172, 0.220)
S (0.750, 0.828, 0.780)

Summary:
SG: P2_1/m

***

no.,calculated volume (Å³/atom),VASP energy (eV for the cell shown)
1,16.13,-82.23
2,18.76,-49.29
3,22.96,-61.45
4,11.87,-74.64
5,15.94,-54.08
6,15.47,-71.29
7,17.66,-102.67
8,18.07,-72.75